# 1
Material: HfScBe2Ge2
Method: DFT, PBE
State: relaxed

Lattice parameters (Å, degrees): 3.7813 3.7813 7.3522 90.00 90.00 120.00
Fractional positions:
Be 0.6667 0.3333 0.2396
Be 0.3333 0.6667 0.7604
Ge 0.3333 0.6667 0.2525
Ge 0.6667 0.3333 0.7475
Hf 0.0000 0.0000 0.0000
Sc 0.0000 0.0000 0.5000

Calculated values
Its magnetization is 0.00 μB per atom. Its space group is P-3m1. The calculation puts the electronic total energy at -6.070 eV per atom.

# 2
Material: YHfBe2Ge2
Method: DFT, PBE
State: relaxed

Lattice parameters (Å, degrees): 3.8289 3.8289 7.7096 90.00 90.00 120.00
Fractional positions:
Be 0.6667 0.3333 0.2254
Be 0.3333 0.6667 0.7746
Ge 0.3333 0.6667 0.2367
Ge 0.6667 0.3333 0.7633
Hf 0.0000 0.0000 0.0000
Y 0.0000 0.0000 0.5000

Calculated values
Its magnetization is 0.00 μB per atom. Its space group is P-3m1. The calculation puts the electronic total energy at -6.134 eV per atom.

# 3
Material: BeHgGePt
Method: DFT, PBE
State: relaxed

Lattice parameters (Å, degrees): 4.5092 4.5092 4.5092 60.00 60.00 60.00
Fractional positions:
Be 0.7500 0.7500 0.7500
Ge 0.2500 0.2500 0.2500
Hg 0.0000 0.0000 0.0000
Pt 0.5000 0.5000 0.5000

Calculated values
Its magnetization is 0.00 μB per atom. The value obtained for the distance to the lowest polymorph of the same formula is 0 meV per atom. Its space group is F-43m.

Question: What is the formula in the second record?
Answer: YHfBe2Ge2